[1]
KCa4I8 PBE optimized geometry; E_form (uncorrected) = -1457 meV per atom; V = 46.92 A^3/atom; M_tot = 0.000 μB/f.u.
1.0
0.000 6.731 6.731
6.731 0.000 6.731
6.731 6.731 0.000
K Ca I
1 4 8
Cartesian
0.000 0.000 0.000
5.117 5.117 5.117
8.345 8.345 5.117
8.345 5.117 8.345
5.117 8.345 8.345
1.905 1.905 1.905
4.826 4.826 1.905
4.826 1.905 4.826
8.293 5.169 5.169
1.905 4.826 4.826
5.169 8.293 5.169
5.169 5.169 8.293
8.293 8.293 8.293

---

[2]
KCd3Pt PBE optimized geometry; E above lowest polymorph = 3.27 kcal/mol of atoms; V = 31.09 A^3/atom; E_form = -0.11 eV/atom; M_tot = 0.000 μB/f.u.
1.0
-2.921 2.921 9.108
2.921 -2.921 9.108
2.921 2.921 -9.108
K Cd Pt
2 6 2
Cartesian
0.000 0.000 3.368
0.000 0.000 14.849
2.921 0.000 0.436
2.921 1.496 -2.303
2.921 0.000 8.673
0.000 1.425 6.805
1.496 2.921 2.303
1.425 0.000 11.411
0.000 0.000 9.108
0.000 2.921 4.554

---

[3]
Er2ThRu PBE optimized geometry; E above lowest polymorph = 1.09 kcal/mol of atoms; V = 26.90 A^3/atom; E_form = -0.32 eV/atom; M_tot = 0.000 μB/f.u.
1.0
1.902 -5.960 0.000
1.902 5.960 0.000
0.000 0.000 9.492
Er Th Ru
4 2 2
Cartesian
1.902 4.263 5.411
1.902 4.263 8.826
1.902 -4.263 0.666
1.902 -4.263 4.080
1.902 0.930 7.119
1.902 -0.930 2.373
1.902 3.100 2.373
1.902 -3.100 7.119

---

[4]
Rb3CoPt PBE optimized geometry; E above lowest polymorph = 0.00 kcal/mol of atoms; V = 52.57 A^3/atom; E_form = 0.69 eV/atom; M_tot = 2.000 μB/f.u.
1.0
6.406 0.000 0.000
0.000 6.406 0.000
0.000 0.000 6.406
Rb Co Pt
3 1 1
Cartesian
0.000 0.000 3.203
0.000 3.203 0.000
3.203 0.000 0.000
3.203 3.203 3.203
0.000 0.000 0.000